# ZnTe2Os | the Alexandria database | PBE | relaxed
data_ZnTe2Os
_chemical_formula_sum 'Zn2 Te4 Os2'
_cell_length_a 7.218
_cell_length_b 7.218
_cell_length_c 7.218
_cell_angle_alpha 128.80
_cell_angle_beta 128.80
_cell_angle_gamma 75.34
_space_group_name_H-M_alt 'P 1'
_space_group_IT_number 1
loop_
_space_group_symop_operation_xyz
'x,y,z'
loop_
_atom_site_label
_atom_site_type_symbol
_atom_site_fract_x
_atom_site_fract_y
_atom_site_fract_z
Zn1 Zn 0.000 0.000 0.000
Zn2 Zn 0.750 0.250 0.500
Te1 Te 0.143 0.625 0.018
Te2 Te 0.375 0.393 0.518
Te3 Te 0.607 0.125 0.982
Te4 Te 0.875 0.857 0.482
Os1 Os 0.250 0.750 0.500
Os2 Os 0.500 0.500 0.000
# - Magnetization: 0.00 μB/f.u.
# - Energy relative to the elements, uncorrected: 32.2 kJ/mol of atoms
# - Symmetry: I-42d, No. 122

# AsAu3 | the Alexandria database | PBE | relaxed
data_AsAu3
_chemical_formula_sum 'As2 Au6'
_cell_length_a 5.336
_cell_length_b 5.336
_cell_length_c 5.336
_cell_angle_alpha 90.00
_cell_angle_beta 90.00
_cell_angle_gamma 90.00
_space_group_name_H-M_alt 'P 1'
_space_group_IT_number 1
loop_
_space_group_symop_operation_xyz
'x,y,z'
loop_
_atom_site_label
_atom_site_type_symbol
_atom_site_fract_x
_atom_site_fract_y
_atom_site_fract_z
As1 As 0.000 0.000 0.000
As2 As 0.500 0.500 0.500
Au1 Au 0.000 0.250 0.500
Au2 Au 0.000 0.750 0.500
Au3 Au 0.250 0.500 0.000
Au4 Au 0.500 0.000 0.250
Au5 Au 0.500 0.000 0.750
Au6 Au 0.750 0.500 0.000
# - Magnetization: 0.00 μB/f.u.
# - Energy of formation: 103 kJ/mol of formula units
# - Symmetry: Pm-3n, No. 223

# SrCoCl6 | the Alexandria database | PBE | relaxed
data_SrCoCl6
_chemical_formula_sum 'Sr1 Co1 Cl6'
_cell_length_a 6.345
_cell_length_b 6.361
_cell_length_c 6.841
_cell_angle_alpha 90.11
_cell_angle_beta 117.49
_cell_angle_gamma 119.87
_space_group_name_H-M_alt 'P 1'
_space_group_IT_number 1
loop_
_space_group_symop_operation_xyz
'x,y,z'
loop_
_atom_site_label
_atom_site_type_symbol
_atom_site_fract_x
_atom_site_fract_y
_atom_site_fract_z
Sr1 Sr 0.000 0.000 0.000
Co1 Co 0.000 0.500 0.500
Cl1 Cl 0.167 0.478 0.279
Cl2 Cl 0.199 0.312 0.721
Cl3 Cl 0.408 0.885 0.722
Cl4 Cl 0.592 0.115 0.278
Cl5 Cl 0.801 0.688 0.279
Cl6 Cl 0.833 0.522 0.721
# - Magnetization: 1.07 μB/f.u.
# - Energy relative to the elements, uncorrected: -105.2 kJ/mol of atoms
# - Symmetry: P-1, No. 2

# RbNaHfF6 | the Alexandria database | PBE | relaxed
data_RbNaHfF6
_chemical_formula_sum 'Rb2 Na2 Hf2 F12'
_cell_length_a 5.945
_cell_length_b 5.945
_cell_length_c 11.462
_cell_angle_alpha 90.00
_cell_angle_beta 90.00
_cell_angle_gamma 120.00
_space_group_name_H-M_alt 'P 1'
_space_group_IT_number 1
loop_
_space_group_symop_operation_xyz
'x,y,z'
loop_
_atom_site_label
_atom_site_type_symbol
_atom_site_fract_x
_atom_site_fract_y
_atom_site_fract_z
Rb1 Rb 0.000 0.000 0.000
Rb2 Rb 0.000 0.000 0.500
Na1 Na 0.333 0.667 0.250
Na2 Na 0.667 0.333 0.750
Hf1 Hf 0.333 0.667 0.750
Hf2 Hf 0.667 0.333 0.250
F1 F 0.041 0.400 0.651
F2 F 0.041 0.641 0.849
F3 F 0.359 0.400 0.849
F4 F 0.359 0.959 0.651
F5 F 0.400 0.041 0.151
F6 F 0.400 0.359 0.349
F7 F 0.600 0.641 0.651
F8 F 0.600 0.959 0.849
F9 F 0.641 0.041 0.349
F10 F 0.641 0.600 0.151
F11 F 0.959 0.359 0.151
F12 F 0.959 0.600 0.349
# - Magnetization: 0.11 μB/f.u.
# - Energy relative to the elements, uncorrected: -333.9 kJ/mol of atoms
# - Symmetry: P-31c, No. 163

# PmZnInCu | the Alexandria database | PBE | relaxed
data_PmZnInCu
_chemical_formula_sum 'Pm1 Zn1 In1 Cu1'
_cell_length_a 4.840
_cell_length_b 4.840
_cell_length_c 4.840
_cell_angle_alpha 60.00
_cell_angle_beta 60.00
_cell_angle_gamma 60.00
_space_group_name_H-M_alt 'P 1'
_space_group_IT_number 1
loop_
_space_group_symop_operation_xyz
'x,y,z'
loop_
_atom_site_label
_atom_site_type_symbol
_atom_site_fract_x
_atom_site_fract_y
_atom_site_fract_z
Pm1 Pm 0.000 0.000 0.000
Zn1 Zn 0.750 0.750 0.750
In1 In 0.500 0.500 0.500
Cu1 Cu 0.250 0.250 0.250
# - Magnetization: 0.00 μB/f.u.
# - Energy of formation: -125 kJ/mol of formula units
# - Symmetry: F-43m, No. 216

# AlZn2Cu | the Alexandria database | PBE | relaxed
data_AlZn2Cu
_chemical_formula_sum 'Al1 Zn2 Cu1'
_cell_length_a 2.779
_cell_length_b 4.383
_cell_length_c 4.663
_cell_angle_alpha 90.00
_cell_angle_beta 90.00
_cell_angle_gamma 90.00
_space_group_name_H-M_alt 'P 1'
_space_group_IT_number 1
loop_
_space_group_symop_operation_xyz
'x,y,z'
loop_
_atom_site_label
_atom_site_type_symbol
_atom_site_fract_x
_atom_site_fract_y
_atom_site_fract_z
Al1 Al 0.000 0.000 0.000
Zn1 Zn 0.000 0.500 0.350
Zn2 Zn 0.500 0.000 0.508
Cu1 Cu 0.500 0.500 0.850
# - Magnetization: 0.00 μB/f.u.
# - Energy of formation: -17 kJ/mol of formula units
# - Symmetry: Pmm2, No. 25

# NiPSe2 | the Alexandria database | PBE | relaxed
data_NiPSe2
_chemical_formula_sum 'Ni1 P1 Se2'
_cell_length_a 2.708
_cell_length_b 2.708
_cell_length_c 10.695
_cell_angle_alpha 90.00
_cell_angle_beta 90.00
_cell_angle_gamma 90.00
_space_group_name_H-M_alt 'P 1'
_space_group_IT_number 1
loop_
_space_group_symop_operation_xyz
'x,y,z'
loop_
_atom_site_label
_atom_site_type_symbol
_atom_site_fract_x
_atom_site_fract_y
_atom_site_fract_z
Ni1 Ni 0.000 0.000 0.000
P1 P 0.500 0.500 0.130
Se1 Se 0.000 0.000 0.458
Se2 Se 0.500 0.500 0.813
# - Magnetization: 0.00 μB/f.u.
# - Energy relative to the elements, uncorrected: 12.0 kJ/mol of atoms
# - Symmetry: P4mm, No. 99

# AcGeAs | the Alexandria database | PBE | relaxed
data_AcGeAs
_chemical_formula_sum 'Ac1 Ge1 As1'
_cell_length_a 4.631
_cell_length_b 4.631
_cell_length_c 4.298
_cell_angle_alpha 90.00
_cell_angle_beta 90.00
_cell_angle_gamma 120.00
_space_group_name_H-M_alt 'P 1'
_space_group_IT_number 1
loop_
_space_group_symop_operation_xyz
'x,y,z'
loop_
_atom_site_label
_atom_site_type_symbol
_atom_site_fract_x
_atom_site_fract_y
_atom_site_fract_z
Ac1 Ac 0.000 0.000 0.000
Ge1 Ge 0.333 0.667 0.502
As1 As 0.667 0.333 0.498
# - Magnetization: 0.00 μB/f.u.
# - Energy of formation: -216 kJ/mol of formula units
# - Symmetry: P3m1, No. 156

Number 1: D(E_F) 0.6506 states/eV per atom, DFT total energy -4.364 eV per atom. Number 2: D(E_F) 0.4396 states/eV per atom, DFT total energy -3.354 eV per atom. Number 3: D(E_F) 0.9047 states/eV per atom, DFT total energy -3.574 eV per atom. Number 4: D(E_F) 0.0000 states/eV per atom, DFT total energy -6.068 eV per atom. Number 5: D(E_F) 0.3983 states/eV per atom, DFT total energy -3.540 eV per atom. Number 6: D(E_F) 0.1663 states/eV per atom, DFT total energy -2.641 eV per atom. Number 7: D(E_F) 0.5468 states/eV per atom, DFT total energy -4.415 eV per atom. Number 8: D(E_F) 0.5297 states/eV per atom, DFT total energy -5.204 eV per atom.